[1]
Pm2Pr3Tl3 after structural relaxation, computed with PBE.

Geometry as CIF:
```
data_Pm2Pr3Tl3
_cell_length_a 9.3336
_cell_length_b 9.3336
_cell_length_c 6.9200
_cell_angle_alpha 90.00
_cell_angle_beta 90.00
_cell_angle_gamma 120.00
_symmetry_space_group_name_H-M 'P 63/m c m'
_symmetry_Int_Tables_number 193
_symmetry_space_group_name_Hall '-P 6c 2'
loop_
_atom_site_label
_atom_site_type_symbol
_atom_site_fract_x
_atom_site_fract_y
_atom_site_fract_z
Pm1 Pm 0.3333 0.6667 0.0000
Pr1 Pr 0.0000 0.2368 0.2500
Tl1 Tl 0.0000 0.4046 0.7500
```

Summary:
crystal system: hexagonal
energy above the most stable polymorph in this dataset: 0.00 eV/f.u.
total DFT energy (no corrections): -66.644 eV/cell
DFT formation energy: -0.298 eV/atom
DOS at the Fermi energy: 11.0 states/eV/f.u.


[2]
PmPr6Tl after structural relaxation, computed with PBE.

Geometry as CIF:
```
data_PmPr6Tl
_cell_length_a 5.0803
_cell_length_b 5.0803
_cell_length_c 10.5164
_cell_angle_alpha 90.00
_cell_angle_beta 90.00
_cell_angle_gamma 90.00
_symmetry_space_group_name_H-M 'P 4/m m m'
_symmetry_Int_Tables_number 123
_symmetry_space_group_name_Hall '-P 4 2'
loop_
_atom_site_label
_atom_site_type_symbol
_atom_site_fract_x
_atom_site_fract_y
_atom_site_fract_z
Pm1 Pm 0.0000 0.0000 0.0000
Pr1 Pr 0.0000 0.5000 0.2573
Pr2 Pr 0.5000 0.5000 0.0000
Pr3 Pr 0.5000 0.5000 0.5000
Tl1 Tl 0.0000 0.0000 0.5000
```

Summary:
crystal system: tetragonal
energy above the most stable polymorph in this dataset: 0.00 eV/f.u.
total DFT energy (no corrections): -36.482 eV/cell
DFT formation energy: -0.086 eV/atom
DOS at the Fermi energy: 9.3 states/eV/f.u.


[3]
PmPr2Tl after structural relaxation, computed with PBE.

Geometry as CIF:
```
data_PmPr2Tl
_cell_length_a 4.9939
_cell_length_b 4.9939
_cell_length_c 5.0401
_cell_angle_alpha 90.00
_cell_angle_beta 90.00
_cell_angle_gamma 90.00
_symmetry_space_group_name_H-M 'P 4/m m m'
_symmetry_Int_Tables_number 123
_symmetry_space_group_name_Hall '-P 4 2'
loop_
_atom_site_label
_atom_site_type_symbol
_atom_site_fract_x
_atom_site_fract_y
_atom_site_fract_z
Pm1 Pm 0.0000 0.0000 0.0000
Pr1 Pr 0.0000 0.5000 0.5000
Tl1 Tl 0.5000 0.5000 0.0000
```

Summary:
crystal system: tetragonal
energy above the most stable polymorph in this dataset: 0.00 eV/f.u.
total DFT energy (no corrections): -17.499 eV/cell
DFT formation energy: -0.206 eV/atom
DOS at the Fermi energy: 6.9 states/eV/f.u.


[4]
PmPrTl after structural relaxation, computed with PBE.

Geometry as CIF:
```
data_PmPrTl
_cell_length_a 3.7885
_cell_length_b 3.7885
_cell_length_c 13.4629
_cell_angle_alpha 90.00
_cell_angle_beta 90.00
_cell_angle_gamma 90.00
_symmetry_space_group_name_H-M 'I 4 m m'
_symmetry_Int_Tables_number 107
_symmetry_space_group_name_Hall 'I 4 -2'
loop_
_atom_site_label
_atom_site_type_symbol
_atom_site_fract_x
_atom_site_fract_y
_atom_site_fract_z
Pm1 Pm 0.0000 0.0000 0.0000
Pr1 Pr 0.0000 0.0000 0.3104
Tl1 Tl 0.0000 0.0000 0.6509
```

Summary:
crystal system: tetragonal
energy above the most stable polymorph in this dataset: 0.15 eV/f.u.
total DFT energy (no corrections): -25.105 eV/cell
DFT formation energy: -0.219 eV/atom
DOS at the Fermi energy: 3.8 states/eV/f.u.


[5]
Pm12PrTl6 after structural relaxation, computed with PBE.

Geometry as CIF:
```
data_Pm12PrTl6
_cell_length_a 14.0116
_cell_length_b 14.0116
_cell_length_c 11.5305
_cell_angle_alpha 90.00
_cell_angle_beta 90.00
_cell_angle_gamma 120.00
_symmetry_space_group_name_H-M 'R -3 m'
_symmetry_Int_Tables_number 166
_symmetry_space_group_name_Hall '-R 3 2"'
loop_
_atom_site_label
_atom_site_type_symbol
_atom_site_fract_x
_atom_site_fract_y
_atom_site_fract_z
Pm1 Pm 0.0000 0.3886 0.0000
Pm2 Pm 0.0877 0.1753 0.8463
Pr1 Pr 0.0000 0.0000 0.5000
Tl1 Tl 0.0236 0.5118 0.7576
```

Summary:
crystal system: trigonal
total DFT energy (no corrections): -228.750 eV/cell
DFT formation energy: -0.014 eV/atom
DOS at the Fermi energy: 30.8 states/eV/f.u.


[6]
Pm9PrTl2 after structural relaxation, computed with PBE.

Geometry as CIF:
```
data_Pm9PrTl2
_cell_length_a 4.9919
_cell_length_b 4.9919
_cell_length_c 15.4072
_cell_angle_alpha 90.00
_cell_angle_beta 90.00
_cell_angle_gamma 90.00
_symmetry_space_group_name_H-M 'P 4/m m m'
_symmetry_Int_Tables_number 123
_symmetry_space_group_name_Hall '-P 4 2'
loop_
_atom_site_label
_atom_site_type_symbol
_atom_site_fract_x
_atom_site_fract_y
_atom_site_fract_z
Pm1 Pm 0.0000 0.0000 0.0000
Pm2 Pm 0.0000 0.0000 0.3400
Pm3 Pm 0.0000 0.5000 0.1752
Pm4 Pm 0.0000 0.5000 0.5000
Pr1 Pr 0.5000 0.5000 0.0000
Tl1 Tl 0.5000 0.5000 0.3393
```

Summary:
crystal system: tetragonal
total DFT energy (no corrections): -53.708 eV/cell
DFT formation energy: -0.120 eV/atom
DOS at the Fermi energy: 15.0 states/eV/f.u.


DOS at the Fermi energy of number 2 (PmPr6Tl)?
9.3 states/eV/f.u.


Number 1 is which compound?
Pm2Pr3Tl3